Here is a relaxed structure of KRbCoO2 from the Open Quantum Materials Database. Energies are from PBE+U.

Output
Magnetic moment = 3.0 μB/cell
Uncorrected energy = -4.57 eV/atom

Lattice parameters (Å, degrees): 7.1586 7.1586 7.1586 147.65 147.65 46.41
Each line ends with the local moment (μB).
Atoms (fractional coordinates):
Co: 0.0000 0.0000 0.0000  2.49
K: 0.3421 0.3421 0.0000  0.00
O: 0.1308 0.1308 0.0000  0.23
O: 0.8689 0.8689 0.0000  0.21
Rb: 0.6585 0.6585 0.0000  0.00